(1)
# KSn4 PBE relaxed
# calculated formation energy = 1.0678 eV per atom
# energy = -2.35 eV per atom
data_KSn4
_chemical_formula_sum 'K1 Sn4'
_symmetry_space_group_name_H-M 'P m -3 m'
_symmetry_Int_Tables_number 221
_symmetry_space_group_name_Hall '-P 4 2 3'
_cell_length_a 5.8055
_cell_length_b 5.8055
_cell_length_c 5.8055
_cell_angle_alpha 90.00
_cell_angle_beta 90.00
_cell_angle_gamma 90.00
loop_
_atom_site_label
_atom_site_fract_x
_atom_site_fract_y
_atom_site_fract_z
K1 0.0000 0.0000 0.0000
Sn1 0.0000 0.0000 0.5000
Sn2 0.5000 0.5000 0.5000



(2)
# Mg2HgRuC PBE relaxed
# calculated formation energy = 0.0585 eV per atom
# energy = -4.34 eV per atom
data_Mg2HgRuC
_chemical_formula_sum 'Mg2 Hg1 Ru1 C1'
_symmetry_space_group_name_H-M 'P 4/m m m'
_symmetry_Int_Tables_number 123
_symmetry_space_group_name_Hall '-P 4 2'
_cell_length_a 4.4578
_cell_length_b 4.4578
_cell_length_c 3.9569
_cell_angle_alpha 90.00
_cell_angle_beta 90.00
_cell_angle_gamma 90.00
loop_
_atom_site_label
_atom_site_fract_x
_atom_site_fract_y
_atom_site_fract_z
Mg1 0.0000 0.5000 0.0000
Hg1 0.0000 0.0000 0.5000
Ru1 0.5000 0.5000 0.5000
C1 0.5000 0.5000 0.0000



What is the calculated formation energy in the first record? 1.0678 eV per atom